# 1
This record from Alexandria via LeMat-Bulk describes Pm8MgPb6 after structural relaxation. The functional is GGA-PBE.

## Properties
Electronic total energy = -4.514 eV per atom
SG = R-3, No. 148

a = 9.492 Å, b = 9.492 Å, c = 8.521 Å
α = 56.15°, β = 56.15°, γ = 60.00°
Fractional positions:
Pb1 0.560 0.929 0.223
Pb2 0.289 0.560 0.223
Pb3 0.440 0.071 0.777
Pb4 0.711 0.440 0.777
Pb5 0.071 0.711 0.777
Pb6 0.929 0.289 0.223
Pm1 0.618 0.197 0.286
Pm2 0.101 0.382 0.714
Pm3 0.382 0.803 0.714
Pm4 0.899 0.618 0.286
Pm5 0.668 0.668 0.996
Pm6 0.197 0.899 0.286
Pm7 0.332 0.332 0.004
Pm8 0.803 0.101 0.714
Mg1 0.000 0.000 0.000


# 2
This record from Alexandria via LeMat-Bulk describes Pm4MgPb5 after structural relaxation. The functional is GGA-PBE.

## Properties
Electronic total energy = -4.310 eV per atom
SG = P4/mmm, No. 123

a = 3.580 Å, b = 3.580 Å, c = 22.635 Å
α = 90.00°, β = 90.00°, γ = 90.00°
Fractional positions:
Pm1 0.000 0.000 0.805
Pm2 0.000 0.000 0.195
Pm3 0.000 0.000 0.602
Pm4 0.000 0.000 0.398
Pb1 0.500 0.500 0.296
Pb2 0.500 0.500 0.910
Pb3 0.500 0.500 0.090
Pb4 0.500 0.500 0.704
Pb5 0.500 0.500 0.500
Mg1 0.000 0.000 0.000


# 3
This record from Alexandria via LeMat-Bulk describes PmPrMgPb after structural relaxation. The functional is GGA-PBE.

## Properties
Electronic total energy = -4.044 eV per atom
SG = F-43m, No. 216

a = 5.506 Å, b = 5.506 Å, c = 5.506 Å
α = 60.00°, β = 60.00°, γ = 60.00°
Fractional positions:
Pb1 0.500 0.500 0.500
Pr1 0.750 0.750 0.750
Pm1 0.250 0.250 0.250
Mg1 0.000 0.000 0.000


# 4
This record from Alexandria via LeMat-Bulk describes PmMgPtPb after structural relaxation. The functional is GGA-PBE.

## Properties
Electronic total energy = -4.585 eV per atom
SG = F-43m, No. 216

a = 5.081 Å, b = 5.081 Å, c = 5.081 Å
α = 60.00°, β = 60.00°, γ = 60.00°
Fractional positions:
Pb1 0.250 0.250 0.250
Pm1 0.000 0.000 0.000
Pt1 0.750 0.750 0.750
Mg1 0.500 0.500 0.500


# 5
This record from Alexandria via LeMat-Bulk describes PmPuMgPb after structural relaxation. The functional is GGA-PBE.

## Properties
Electronic total energy = -6.225 eV per atom
SG = F-43m, No. 216

a = 5.454 Å, b = 5.454 Å, c = 5.454 Å
α = 60.00°, β = 60.00°, γ = 60.00°
Each line ends with the local moment (μB).
Fractional positions:
Pu1 0.250 0.250 0.250  5.64
Pb1 0.500 0.500 0.500  -0.04
Pm1 0.750 0.750 0.750  0.29
Mg1 0.000 0.000 0.000  0.02


# 6
This record from Alexandria via LeMat-Bulk describes PmMgSbPb after structural relaxation. The functional is GGA-PBE.

## Properties
Formation energy without anion corrections = -0.3290 eV per atom
SG = F-43m, No. 216

a = 5.395 Å, b = 5.395 Å, c = 5.395 Å
α = 60.00°, β = 60.00°, γ = 60.00°
Fractional positions:
Pb1 0.750 0.750 0.750
Pm1 0.500 0.500 0.500
Sb1 0.250 0.250 0.250
Mg1 0.000 0.000 0.000


Number 1: V 33.943 Å³ per atom. Number 2: V 29.009 Å³ per atom. Number 3: V 29.508 Å³ per atom. Number 4: V 23.183 Å³ per atom. Number 5: V 28.681 Å³ per atom. Number 6: V 27.761 Å³ per atom.